# 1
First-principles (PBE) data for CeGdTcNi after structural relaxation, as listed in the Alexandria database.

## Properties
Formation enthalpy at 0 K: -0.12 eV per atom
Space-group type: F-43m

Lattice parameters (Å, degrees): 4.854 4.854 4.854 60.00 60.00 60.00
Fractional positions:
Ce  0.000  0.000  0.000
Gd  0.500  0.500  0.500
Tc  0.750  0.750  0.750
Ni  0.250  0.250  0.250

***

# 2
First-principles (PBE) data for Ca3Th2PaAs6 after structural relaxation, as listed in the Alexandria database.

## Properties
Formation enthalpy at 0 K: -1.29 eV per atom
Space-group type: C2/m

Lattice parameters (Å, degrees): 7.367 7.367 7.290 99.71 99.71 119.99
Fractional positions:
Ca  0.000  0.000  0.000
Ca  0.331  0.669  0.000
Ca  0.669  0.331  0.000
Th  0.166  0.834  0.500
Th  0.834  0.166  0.500
Pa  0.500  0.500  0.500
As  0.097  0.421  0.261
As  0.257  0.257  0.738
As  0.421  0.097  0.261
As  0.579  0.903  0.739
As  0.743  0.743  0.262
As  0.903  0.579  0.739